# 1
Dy2CBrCl | PBE | relaxed

The space group is P3m1 (No. 156) and the conventional cell measures 3.7373, 3.7373 and 10.1062 Å, with angles of 90.00, 90.00 and 120.00 degrees. The asymmetric unit holds Dy at (0.0000, 0.0000, 0.0000), Dy at (0.3333, 0.6667, 0.2660), C at (0.6667, 0.3333, 0.1333), Br at (0.0000, 0.0000, 0.4584) and Cl at (0.3333, 0.6667, 0.8282).

---

# 2
Dy2Er2CBr2Cl3 | PBE | relaxed

The space group is C2/m (No. 12) and the conventional cell measures 17.461, 3.721 and 7.758 Å, with angles of 90.00, 103.06 and 90.00 degrees. The asymmetric unit holds Dy at (0.140, 0.000, 0.077), Er at (0.000, 0.500, 0.209), C at (0.000, 0.000, 0.000), Br at (0.170, 0.500, 0.817), Cl at (0.000, 0.000, 0.500) and Cl at (0.159, 0.500, 0.337).

---

Values of theoretical density, in order: 6.14, 6.34, all in g cm⁻³.
Values of energy, in order: -5.80, -5.23, all in eV/atom.